# MgSbAs4

A PBEsol-optimized structure of MgSbAs4 (SCAN, Alexandria).

a b c (Å): 5.595 5.595 5.595
angles (deg): 60.00 60.00 60.00
Fractional positions:
Mg1 0.000 0.000 0.000
Sb1 0.750 0.750 0.750
As1 0.375 0.375 0.375
As2 0.375 0.375 0.875
As3 0.375 0.875 0.375
As4 0.875 0.375 0.375

Calculated values
E, eV per atom: -20.172
Formation energy without anion corrections, meV per atom: 327
D(E_F), states/eV/cell: 4.44